(1)
An optimized crystal structure of Cr2AsIr. Source: the Alexandria database, functional GGA-PBEsol.

The formation energy is 0.126 eV per atom. Its crystal system is orthorhombic. The density comes out at 11.652 Mg/m³. As for the space group: No. 25.

abc: 2.799 3.701 5.106
angles: 90.00 90.00 90.00
Positions (direct):
Cr 0.000 0.000 0.000
Cr 0.500 0.500 0.280
As 0.500 0.500 0.782
Ir 0.000 0.000 0.489


(2)
An optimized crystal structure of KCo2Pb. Source: the Alexandria database, functional GGA-PBEsol.

The formation energy is 1.070 eV per atom. Its crystal system is cubic. The density comes out at 8.496 Mg/m³. As for the space group: No. 225.

abc: 4.652 4.652 4.652
angles: 60.00 60.00 60.00
Positions (direct):
K 0.000 0.000 0.000
Co 0.250 0.250 0.250
Co 0.750 0.750 0.750
Pb 0.500 0.500 0.500


> The lowest density belongs to which entry?

KCo2Pb